No. 1
Below is an optimized crystal structure of Cs2Ta3TiO12, with properties calculated at the PBE level.

Symmetry: No. 166
N(E_F) in states/eV per cell: 11.82

abc: 7.468 7.468 7.468
angles: 60.29 60.29 60.29
Atoms (fractional coordinates):
Cs: 0.126 0.126 0.126
Cs: 0.874 0.874 0.874
Ta: 0.000 0.500 0.500
Ta: 0.500 0.000 0.500
Ta: 0.500 0.500 0.000
Ti: 0.500 0.500 0.500
O: 0.186 0.186 0.561
O: 0.186 0.561 0.186
O: 0.193 0.560 0.560
O: 0.439 0.814 0.814
O: 0.440 0.440 0.807
O: 0.440 0.807 0.440
O: 0.560 0.193 0.560
O: 0.560 0.560 0.193
O: 0.561 0.186 0.186
O: 0.807 0.440 0.440
O: 0.814 0.439 0.814
O: 0.814 0.814 0.439

=====

No. 2
Below is an optimized crystal structure of CsTa2Tl2O7, with properties calculated at the PBE level.

Symmetry: No. 155
N(E_F) in states/eV per cell: 6.85

abc: 9.656 9.656 9.656
angles: 38.05 38.05 38.05
Atoms (fractional coordinates):
Cs: 0.000 0.000 0.000
Ta: 0.428 0.428 0.428
Ta: 0.572 0.572 0.572
Tl: 0.218 0.218 0.218
Tl: 0.782 0.782 0.782
O: 0.102 0.468 0.648
O: 0.352 0.532 0.898
O: 0.468 0.648 0.102
O: 0.500 0.500 0.500
O: 0.532 0.898 0.352
O: 0.648 0.102 0.468
O: 0.898 0.352 0.532

=====

No. 3
Below is an optimized crystal structure of CsTaTl2O4, with properties calculated at the PBE level.

Symmetry: No. 31
N(E_F) in states/eV per cell: 0.00

abc: 8.267 8.191 6.014
angles: 90.00 90.00 90.00
Atoms (fractional coordinates):
Cs: 0.000 0.103 0.000
Cs: 0.500 0.897 0.500
Ta: 0.000 0.763 0.536
Ta: 0.500 0.237 0.036
Tl: 0.225 0.343 0.511
Tl: 0.275 0.657 0.011
Tl: 0.725 0.657 0.011
Tl: 0.775 0.343 0.511
O: 0.000 0.734 0.849
O: 0.000 0.984 0.481
O: 0.190 0.667 0.420
O: 0.310 0.333 0.920
O: 0.500 0.016 0.981
O: 0.500 0.266 0.349
O: 0.690 0.333 0.920
O: 0.810 0.667 0.420

=====

No. 4
Below is an optimized crystal structure of CsUTa2O8, with properties calculated at the PBE level.

Symmetry: No. 164

abc: 6.131 6.131 8.496
angles: 90.00 90.00 120.00
Atoms (fractional coordinates):
Cs: 0.000 0.000 0.000
U: 0.000 0.000 0.500
Ta: 0.333 0.667 0.720
Ta: 0.667 0.333 0.280
O: 0.163 0.326 0.650
O: 0.163 0.837 0.650
O: 0.326 0.163 0.350
O: 0.333 0.667 0.929
O: 0.667 0.333 0.071
O: 0.674 0.837 0.650
O: 0.837 0.163 0.350
O: 0.837 0.674 0.350

=====

No. 5
Below is an optimized crystal structure of Cs2UTaO6, with properties calculated at the PBE level.

Symmetry: No. 225
N(E_F) in states/eV per cell: 0.42

abc: 6.052 6.052 6.052
angles: 60.00 60.00 60.00
Atoms (fractional coordinates):
Cs: 0.250 0.250 0.250
Cs: 0.750 0.750 0.750
U: 0.000 0.000 0.000
Ta: 0.500 0.500 0.500
O: 0.260 0.260 0.740
O: 0.260 0.740 0.260
O: 0.260 0.740 0.740
O: 0.740 0.260 0.260
O: 0.740 0.260 0.740
O: 0.740 0.740 0.260

=====

No. 6
Below is an optimized crystal structure of Cs2U3TaO12, with properties calculated at the PBE level.

Symmetry: No. 166
N(E_F) in states/eV per cell: 8.21

abc: 7.731 7.731 7.731
angles: 61.67 61.67 61.67
Atoms (fractional coordinates):
Cs: 0.128 0.128 0.128
Cs: 0.872 0.872 0.872
U: 0.000 0.500 0.500
U: 0.500 0.000 0.500
U: 0.500 0.500 0.000
Ta: 0.500 0.500 0.500
O: 0.181 0.181 0.563
O: 0.181 0.563 0.181
O: 0.199 0.559 0.559
O: 0.437 0.819 0.819
O: 0.441 0.441 0.801
O: 0.441 0.801 0.441
O: 0.559 0.199 0.559
O: 0.559 0.559 0.199
O: 0.563 0.181 0.181
O: 0.801 0.441 0.441
O: 0.819 0.437 0.819
O: 0.819 0.819 0.437

=====

No. 7
Below is an optimized crystal structure of Cs2UTa3O12, with properties calculated at the PBE level.

Symmetry: No. 166
N(E_F) in states/eV per cell: 10.44

abc: 7.708 7.708 7.708
angles: 58.40 58.40 58.40
Atoms (fractional coordinates):
Cs: 0.116 0.116 0.116
Cs: 0.884 0.884 0.884
U: 0.500 0.500 0.500
Ta: 0.000 0.500 0.500
Ta: 0.500 0.000 0.500
Ta: 0.500 0.500 0.000
O: 0.179 0.564 0.564
O: 0.192 0.192 0.564
O: 0.192 0.564 0.192
O: 0.436 0.436 0.821
O: 0.436 0.808 0.808
O: 0.436 0.821 0.436
O: 0.564 0.179 0.564
O: 0.564 0.192 0.192
O: 0.564 0.564 0.179
O: 0.808 0.436 0.808
O: 0.808 0.808 0.436
O: 0.821 0.436 0.436

=====

The following ΔE_f (raw) values (in eV per atom) correspond, in order, to the records above: -2.401; -1.977; -1.837; -2.807; -2.598; -2.964; -2.719.